Compound: Ta4InIr5
Source: Alexandria via LeMat-Bulk
Functional: PBE-GGA
Structure: relaxed

abc: 2.904 3.833 14.711
angles: 90.00 90.00 90.00
Space group Pmmm (No. 47)
One atom of each set of equivalent atoms:
Ta  0.000  0.000  0.097 x2
Ta  0.000  0.000  0.295 x2
In  0.000  0.000  0.500 x1
Ir  0.500  0.500  0.000 x1
Ir  0.500  0.500  0.196 x2
Ir  0.500  0.500  0.392 x2

## Properties
* DFT formation energy: -0.49 eV per atom
* Fermi-level density of states: 0.85 states/eV/atom
* calculated volume: 16.38 Å³ per atom